Computed, not measured: crystalline CdCuMo2 at its relaxed geometry at the PBE level of DFT.

Values from the calculation:
The formation energy is 0.355 eV/atom. The value obtained for the density of states at the Fermi level is 2.6 states/eV/f.u. As for the spin magnetization: 0.0 μB/f.u.

abc: 3.7536 3.7536 9.0088
angles: 90.00 90.00 90.00
With the nearest neighbours (Å) after each atom.
Sites, in units of the cell vectors:
1 Cd 0.0000 0.0000 0.0000  4 Cu 2.65, 8 Mo 2.93
2 Cd 0.5000 0.5000 0.5000  4 Cu 2.65, 8 Mo 2.93
3 Cu 0.0000 0.0000 0.5000  4 Cd 2.65, 8 Mo 2.93
4 Cu 0.5000 0.5000 0.0000  4 Cd 2.65, 8 Mo 2.93
5 Mo 0.0000 0.5000 0.2500  4 Mo 2.65, 4 Cd 2.93, 4 Cu 2.93
6 Mo 0.0000 0.5000 0.7500  4 Mo 2.65, 4 Cd 2.93, 4 Cu 2.93
7 Mo 0.5000 0.0000 0.2500  4 Mo 2.65, 4 Cd 2.93, 4 Cu 2.93
8 Mo 0.5000 0.0000 0.7500  4 Mo 2.65, 4 Cd 2.93, 4 Cu 2.93



Computed, not measured: crystalline Cd2CuMo at its relaxed geometry at the PBE level of DFT.

Values from the calculation:
The formation energy is 0.535 eV/atom. The value obtained for the density of states at the Fermi level is 1.9 states/eV/f.u. The energy above the most stable polymorph in this dataset is 284.6 meV/atom. As for the spin magnetization: 2.2 μB/f.u.

abc: 6.5586 6.5586 6.5586
angles: 90.00 90.00 90.00
With the nearest neighbours (Å) after each atom.
Sites, in units of the cell vectors:
1 Cd 0.0000 0.0000 0.0000  4 Cd 2.84, 4 Mo 2.84
2 Cd 0.0000 0.5000 0.5000  4 Cd 2.84, 4 Mo 2.84
3 Cd 0.2500 0.2500 0.2500  4 Cd 2.84, 4 Cu 2.84
4 Cd 0.2500 0.7500 0.7500  4 Cu 2.84, 4 Cd 2.84
5 Cd 0.5000 0.0000 0.5000  4 Cd 2.84, 4 Mo 2.84
6 Cd 0.5000 0.5000 0.0000  4 Cd 2.84, 4 Mo 2.84
7 Cd 0.7500 0.2500 0.7500  4 Cu 2.84, 4 Cd 2.84
8 Cd 0.7500 0.7500 0.2500  4 Cu 2.84, 4 Cd 2.84
9 Cu 0.0000 0.0000 0.5000  4 Mo 2.84, 4 Cd 2.84
10 Cu 0.0000 0.5000 0.0000  4 Mo 2.84, 4 Cd 2.84
11 Cu 0.5000 0.0000 0.0000  4 Mo 2.84, 4 Cd 2.84
12 Cu 0.5000 0.5000 0.5000  4 Mo 2.84, 4 Cd 2.84
13 Mo 0.2500 0.2500 0.7500  4 Cd 2.84, 4 Cu 2.84
14 Mo 0.2500 0.7500 0.2500  4 Cd 2.84, 4 Cu 2.84
15 Mo 0.7500 0.2500 0.2500  4 Cd 2.84, 4 Cu 2.84
16 Mo 0.7500 0.7500 0.7500  4 Cd 2.84, 4 Cu 2.84



- Which of these has the lowest spin magnetization?
  CdCuMo2